(1)
Computed, not measured: Ac14SmHo after structural relaxation at the PBE level of DFT.

Cell: 11.204 7.879 7.879 Å, 90.02 90.00 90.00°
Atoms (fractional coordinates):
Ac (0.000, 0.000, 0.000)
Ac (0.000, 0.000, 0.499)
Ac (0.000, 0.499, 0.000)
Ac (0.000, 0.500, 0.500)
Ac (0.256, 0.251, 0.749)
Ac (0.256, 0.749, 0.251)
Ac (0.256, 0.749, 0.749)
Ac (0.257, 0.250, 0.250)
Ac (0.500, 0.501, 0.999)
Ac (0.500, 0.999, 0.501)
Ac (0.743, 0.250, 0.250)
Ac (0.744, 0.251, 0.749)
Ac (0.744, 0.749, 0.251)
Ac (0.744, 0.749, 0.749)
Sm (0.500, 0.000, 0.000)
Ho (0.500, 0.500, 0.500)

Calculated values
- mass density (g/cm3) = 8.3
- energy (Ry per atom) = -0.30484
- DOS at the Fermi energy (states/eV/atom) = 1.80
- crystal system = orthorhombic
- space-group type = Amm2 (38)
- formation energy (meV per atom) = 28



(2)
Computed, not measured: Lu3Co after structural relaxation at the PBE level of DFT.

Cell: 3.274 3.484 8.800 Å, 90.00 90.00 90.00°
Atoms (fractional coordinates):
Lu (0.000, 0.000, 0.000)
Lu (0.000, 0.500, 0.345)
Lu (0.500, 0.500, 0.710)
Co (0.500, 0.000, 0.488)

Calculated values
- mass density (g/cm3) = 9.7
- energy (Ry per atom) = -0.37198
- DOS at the Fermi energy (states/eV/atom) = 1.33
- crystal system = orthorhombic
- space-group type = Pmm2 (25)
- formation energy (meV per atom) = 106



(3)
Computed, not measured: Sr2YTa after structural relaxation at the PBE level of DFT.

Cell: 3.415 5.907 6.591 Å, 90.00 101.24 90.00°
Atoms (fractional coordinates):
Sr (0.237, 0.000, 0.262)
Sr (0.763, 0.000, 0.738)
Y (0.500, 0.500, 0.000)
Ta (0.000, 0.500, 0.500)

Calculated values
- mass density (g/cm3) = 5.7
- energy (Ry per atom) = -0.33455
- offset from the most stable computed form (kJ per mole of atoms) = 30.59
- DOS at the Fermi energy (states/eV/atom) = 1.04
- crystal system = monoclinic
- space-group type = P2/m (10)
- formation energy (meV per atom) = 868



(4)
Computed, not measured: CaPmThN3 after structural relaxation at the PBE level of DFT.

Cell: 6.171 3.540 9.200 Å, 90.00 102.14 90.00°
Atoms (fractional coordinates):
Ca (0.137, 0.250, 0.134)
Ca (0.863, 0.750, 0.866)
Pm (0.225, 0.750, 0.450)
Pm (0.775, 0.250, 0.550)
Th (0.361, 0.250, 0.814)
Th (0.639, 0.750, 0.186)
N (0.035, 0.750, 0.655)
N (0.281, 0.750, 0.999)
N (0.471, 0.250, 0.317)
N (0.529, 0.750, 0.683)
N (0.719, 0.250, 0.001)
N (0.965, 0.250, 0.345)

Calculated values
- mass density (g/cm3) = 7.8
- energy (Ry per atom) = -0.57335
- crystal system = monoclinic
- space-group type = P2_1/m (11)



(5)
Computed, not measured: NaTlCuPd after structural relaxation at the PBE level of DFT.

Cell: 4.702 4.702 4.702 Å, 60.00 60.00 60.00°
Atoms (fractional coordinates):
Na (0.000, 0.000, 0.000)
Tl (0.500, 0.500, 0.500)
Cu (0.250, 0.250, 0.250)
Pd (0.750, 0.750, 0.750)

Calculated values
- mass density (g/cm3) = 9.0
- energy (Ry per atom) = -0.23534
- DOS at the Fermi energy (states/eV/atom) = 0.44
- crystal system = cubic
- space-group type = F-43m (216)
- formation energy (meV per atom) = 42



(6)
Computed, not measured: Pa2Be6Pt21 after structural relaxation at the PBE level of DFT.

Cell: 8.481 8.481 8.481 Å, 60.00 60.00 60.00°
Atoms (fractional coordinates):
Pa (0.250, 0.250, 0.250)
Pa (0.750, 0.750, 0.750)
Be (0.229, 0.229, 0.771)
Be (0.229, 0.771, 0.229)
Be (0.229, 0.771, 0.771)
Be (0.771, 0.229, 0.229)
Be (0.771, 0.229, 0.771)
Be (0.771, 0.771, 0.229)
Pt (0.117, 0.117, 0.117)
Pt (0.117, 0.117, 0.649)
Pt (0.117, 0.649, 0.117)
Pt (0.160, 0.500, 0.500)
Pt (0.160, 0.500, 0.840)
Pt (0.160, 0.840, 0.500)
Pt (0.351, 0.883, 0.883)
Pt (0.500, 0.160, 0.500)
Pt (0.500, 0.160, 0.840)
Pt (0.500, 0.500, 0.160)
Pt (0.500, 0.500, 0.500)
Pt (0.500, 0.500, 0.840)
Pt (0.500, 0.840, 0.160)
Pt (0.500, 0.840, 0.500)
Pt (0.649, 0.117, 0.117)
Pt (0.840, 0.160, 0.500)
Pt (0.840, 0.500, 0.160)
Pt (0.840, 0.500, 0.500)
Pt (0.883, 0.351, 0.883)
Pt (0.883, 0.883, 0.351)
Pt (0.883, 0.883, 0.883)

Calculated values
- mass density (g/cm3) = 17.8
- energy (Ry per atom) = -0.47231
- DOS at the Fermi energy (states/eV/atom) = 0.70
- crystal system = cubic
- space-group type = Fm-3m (225)
- formation energy (meV per atom) = -626



(7)
Computed, not measured: Y4PS2 after structural relaxation at the PBE level of DFT.

Cell: 7.574 7.574 6.646 Å, 115.61 115.61 29.83°
Atoms (fractional coordinates):
Y (0.123, 0.123, 0.454)
Y (0.376, 0.376, 0.036)
Y (0.624, 0.624, 0.964)
Y (0.877, 0.877, 0.546)
P (0.000, 0.000, 0.000)
S (0.258, 0.258, 0.261)
S (0.742, 0.742, 0.739)

Calculated values
- mass density (g/cm3) = 4.4
- energy (Ry per atom) = -0.53018
- DOS at the Fermi energy (states/eV/atom) = 0.52
- crystal system = monoclinic
- space-group type = C2/m (12)



(8)
Computed, not measured: Tb2Dy3Y8 after structural relaxation at the PBE level of DFT.

Cell: 10.847 10.847 5.635 Å, 90.03 90.03 41.16°
Atoms (fractional coordinates):
Tb (0.241, 0.241, 0.499)
Tb (0.759, 0.759, 0.501)
Dy (0.000, 0.000, 0.500)
Dy (0.284, 0.716, 0.000)
Dy (0.716, 0.284, 0.000)
Y (0.133, 0.133, 0.000)
Y (0.181, 0.604, 0.500)
Y (0.331, 0.331, 0.999)
Y (0.396, 0.819, 0.500)
Y (0.604, 0.181, 0.500)
Y (0.669, 0.669, 0.001)
Y (0.819, 0.396, 0.500)
Y (0.867, 0.867, 0.000)

Calculated values
- mass density (g/cm3) = 5.8
- energy (Ry per atom) = -0.40494
- DOS at the Fermi energy (states/eV/atom) = 1.90
- crystal system = monoclinic
- space-group type = C2/m (12)
- formation energy (meV per atom) = 243



(9)
Computed, not measured: YAlTl2 after structural relaxation at the PBE level of DFT.

Cell: 5.865 5.865 5.865 Å, 134.91 134.91 65.67°
Atoms (fractional coordinates):
Y (0.000, 0.000, 0.000)
Al (0.500, 0.500, 0.000)
Tl (0.250, 0.750, 0.500)
Tl (0.750, 0.250, 0.500)

Calculated values
- mass density (g/cm3) = 8.7
- energy (Ry per atom) = -0.28449
- offset from the most stable computed form (kJ per mole of atoms) = 7.21
- DOS at the Fermi energy (states/eV/atom) = 0.57
- crystal system = tetragonal
- space-group type = I4/mmm (139)
- formation energy (meV per atom) = -136



(10)
Computed, not measured: Cd8Pd5Pt after structural relaxation at the PBE level of DFT.

Cell: 7.039 7.039 7.039 Å, 109.47 109.47 109.46°
Atoms (fractional coordinates):
Cd (0.121, 0.372, 0.590)
Cd (0.129, 0.381, 0.089)
Cd (0.292, 0.040, 0.911)
Cd (0.470, 0.879, 0.251)
Cd (0.619, 0.708, 0.748)
Cd (0.628, 0.218, 0.749)
Cd (0.782, 0.530, 0.410)
Cd (0.960, 0.871, 0.252)
Pd (0.004, 0.636, 0.877)
Pd (0.250, 0.750, 0.500)
Pd (0.364, 0.241, 0.368)
Pd (0.759, 0.127, 0.123)
Pd (0.873, 0.996, 0.632)
Pt (0.500, 0.500, 0.000)

Calculated values
- mass density (g/cm3) = 10.1
- energy (Ry per atom) = -0.22499
- DOS at the Fermi energy (states/eV/atom) = 0.27
- crystal system = tetragonal
- space-group type = I-4 (82)
- formation energy (meV per atom) = -252



(11)
Computed, not measured: Mn2TlCuBr6 after structural relaxation at the PBE level of DFT.

Cell: 9.927 9.927 7.839 Å, 105.68 105.68 89.20°
Atoms (fractional coordinates):
Mn (0.113, 0.263, 0.180)
Mn (0.263, 0.113, 0.680)
Mn (0.737, 0.887, 0.320)
Mn (0.887, 0.737, 0.820)
Tl (0.377, 0.623, 0.750)
Tl (0.623, 0.377, 0.250)
Cu (0.292, 0.708, 0.250)
Cu (0.708, 0.292, 0.750)
Br (0.072, 0.200, 0.458)
Br (0.119, 0.653, 0.955)
Br (0.200, 0.072, 0.958)
Br (0.299, 0.461, 0.305)
Br (0.347, 0.881, 0.545)
Br (0.461, 0.299, 0.805)
Br (0.539, 0.701, 0.195)
Br (0.653, 0.119, 0.455)
Br (0.701, 0.539, 0.695)
Br (0.800, 0.928, 0.042)
Br (0.881, 0.347, 0.045)
Br (0.928, 0.800, 0.542)

Calculated values
- mass density (g/cm3) = 4.0
- energy (Ry per atom) = -0.30426
- crystal system = monoclinic
- space-group type = C2/c (15)



(12)
Computed, not measured: Na2AlBr2 after structural relaxation at the PBE level of DFT.

Cell: 8.774 8.774 3.563 Å, 90.00 90.00 90.00°
Atoms (fractional coordinates):
Na (0.141, 0.359, 0.000)
Na (0.359, 0.859, 0.000)
Na (0.641, 0.141, 0.000)
Na (0.859, 0.641, 0.000)
Al (0.000, 0.000, 0.000)
Al (0.500, 0.500, 0.000)
Br (0.154, 0.654, 0.500)
Br (0.346, 0.154, 0.500)
Br (0.654, 0.846, 0.500)
Br (0.846, 0.346, 0.500)

Calculated values
- mass density (g/cm3) = 2.8
- energy (Ry per atom) = -0.18887
- offset from the most stable computed form (kJ per mole of atoms) = 0.00
- DOS at the Fermi energy (states/eV/atom) = 0.45
- crystal system = tetragonal
- space-group type = P4/mbm (127)



(13)
Computed, not measured: Rb3Pu2ThTe6 after structural relaxation at the PBE level of DFT.

Cell: 8.032 8.032 8.948 Å, 98.60 98.60 120.00°
Atoms (fractional coordinates):
Rb (0.000, 0.000, 0.000)
Rb (0.332, 0.668, 0.000)
Rb (0.668, 0.332, 0.000)
Pu (0.167, 0.833, 0.500)
Pu (0.833, 0.167, 0.500)
Th (0.500, 0.500, 0.500)
Te (0.103, 0.432, 0.297)
Te (0.238, 0.238, 0.703)
Te (0.432, 0.103, 0.297)
Te (0.568, 0.897, 0.703)
Te (0.762, 0.762, 0.297)
Te (0.897, 0.568, 0.703)

Calculated values
- mass density (g/cm3) = 6.1
- energy (Ry per atom) = -0.44004
- DOS at the Fermi energy (states/eV/atom) = 2.69
- crystal system = monoclinic
- space-group type = C2/m (12)



(14)
Computed, not measured: Tb5PmSc after structural relaxation at the PBE level of DFT.

Cell: 7.606 7.606 7.606 Å, 116.11 82.80 133.25°
Atoms (fractional coordinates):
Tb (0.000, 0.000, 0.000)
Tb (0.480, 0.733, 0.747)
Tb (0.730, 0.054, 0.324)
Tb (0.730, 0.406, 0.676)
Tb (0.986, 0.733, 0.253)
Pm (0.470, 0.470, 0.000)
Sc (0.229, 0.729, 0.500)

Calculated values
- mass density (g/cm3) = 5.9
- energy (Ry per atom) = -0.29005
- offset from the most stable computed form (kJ per mole of atoms) = 84.43
- DOS at the Fermi energy (states/eV/atom) = 1.31
- crystal system = orthorhombic
- space-group type = Imm2 (44)
- formation energy (meV per atom) = 944



(15)
Computed, not measured: ZnRe8 after structural relaxation at the PBE level of DFT.

Cell: 6.170 6.170 6.170 Å, 95.89 95.89 142.63°
Atoms (fractional coordinates):
Zn (0.000, 0.000, 0.000)
Re (0.000, 0.338, 0.338)
Re (0.000, 0.662, 0.662)
Re (0.329, 0.329, 0.658)
Re (0.329, 0.671, 0.000)
Re (0.338, 0.000, 0.338)
Re (0.662, 0.000, 0.662)
Re (0.671, 0.329, 0.000)
Re (0.671, 0.671, 0.342)

Calculated values
- mass density (g/cm3) = 19.1
- energy (Ry per atom) = -0.81393
- DOS at the Fermi energy (states/eV/atom) = 0.70
- crystal system = tetragonal
- space-group type = I4/mmm (139)
- formation energy (meV per atom) = 132



(16)
Computed, not measured: VOs2Ru3 after structural relaxation at the PBE level of DFT.

Cell: 7.147 7.147 4.713 Å, 90.28 90.28 44.37°
Atoms (fractional coordinates):
V (0.135, 0.865, 0.750)
V (0.865, 0.135, 0.250)
Os (0.211, 0.457, 0.918)
Os (0.457, 0.211, 0.418)
Os (0.543, 0.789, 0.582)
Os (0.789, 0.543, 0.082)
Ru (0.041, 0.291, 0.583)
Ru (0.291, 0.041, 0.083)
Ru (0.371, 0.629, 0.250)
Ru (0.629, 0.371, 0.750)
Ru (0.709, 0.959, 0.917)
Ru (0.959, 0.709, 0.417)

Calculated values
- mass density (g/cm3) = 14.5
- energy (Ry per atom) = -0.72708
- DOS at the Fermi energy (states/eV/atom) = 1.02
- crystal system = monoclinic
- space-group type = C2/c (15)
- formation energy (meV per atom) = 9



(17)
Computed, not measured: AgPRuO2 after structural relaxation at the PBE level of DFT.

Cell: 3.912 3.912 5.054 Å, 90.00 90.00 90.00°
Atoms (fractional coordinates):
Ag (0.000, 0.000, 0.000)
P (0.000, 0.000, 0.500)
Ru (0.500, 0.500, 0.500)
O (0.000, 0.500, 0.000)
O (0.500, 0.000, 0.000)

Calculated values
- mass density (g/cm3) = 5.8
- energy (Ry per atom) = -0.32576
- offset from the most stable computed form (kJ per mole of atoms) = 127.72
- DOS at the Fermi energy (states/eV/atom) = 1.27
- crystal system = tetragonal
- space-group type = P4/mmm (123)



(18)
Computed, not measured: Tb6HgS3 after structural relaxation at the PBE level of DFT.

Cell: 11.826 3.872 11.931 Å, 90.00 111.45 90.00°
Atoms (fractional coordinates):
Tb (0.023, 0.250, 0.339)
Tb (0.136, 0.750, 0.105)
Tb (0.257, 0.250, 0.660)
Tb (0.343, 0.750, 0.938)
Tb (0.350, 0.750, 0.447)
Tb (0.436, 0.250, 0.231)
Tb (0.564, 0.750, 0.769)
Tb (0.650, 0.250, 0.553)
Tb (0.657, 0.250, 0.062)
Tb (0.743, 0.750, 0.340)
Tb (0.864, 0.250, 0.895)
Tb (0.977, 0.750, 0.661)
Hg (0.122, 0.250, 0.878)
Hg (0.878, 0.750, 0.122)
S (0.131, 0.750, 0.504)
S (0.225, 0.250, 0.277)
S (0.458, 0.250, 0.859)
S (0.542, 0.750, 0.141)
S (0.775, 0.750, 0.723)
S (0.869, 0.250, 0.496)

Calculated values
- mass density (g/cm3) = 8.2
- energy (Ry per atom) = -0.39081
- DOS at the Fermi energy (states/eV/atom) = 0.69
- crystal system = monoclinic
- space-group type = P2_1/m (11)



(19)
Computed, not measured: Y2RhAu after structural relaxation at the PBE level of DFT.

Cell: 4.014 4.014 7.430 Å, 105.81 105.81 60.17°
Atoms (fractional coordinates):
Y (0.241, 0.241, 0.223)
Y (0.759, 0.759, 0.777)
Rh (0.500, 0.500, 0.000)
Au (0.000, 0.000, 0.500)

Calculated values
- mass density (g/cm3) = 8.0
- energy (Ry per atom) = -0.48407
- DOS at the Fermi energy (states/eV/atom) = 0.88
- crystal system = monoclinic
- space-group type = C2/m (12)
- formation energy (meV per atom) = -697



(20)
Computed, not measured: PmNdCu2Si2 after structural relaxation at the PBE level of DFT.

Cell: 4.215 4.215 7.861 Å, 90.00 90.00 120.00°
Atoms (fractional coordinates):
Pm (0.000, 0.000, 0.000)
Nd (0.000, 0.000, 0.500)
Cu (0.333, 0.667, 0.753)
Cu (0.667, 0.333, 0.247)
Si (0.333, 0.667, 0.248)
Si (0.667, 0.333, 0.752)

Calculated values
- mass density (g/cm3) = 6.5
- energy (Ry per atom) = -0.39582
- DOS at the Fermi energy (states/eV/atom) = 0.35
- crystal system = trigonal
- space-group type = P-3m1 (164)